1.
A relaxed structure of SiBiBTe. Source: Alexandria via LeMat-Bulk, functional PBE.

Cell: 3.3641 3.4314 9.5198 Å, 89.91 91.00 120.71°
Closest atoms and distances in Å follow each position.
Positions (direct):
Bi  0.0485  0.4642  0.7231  1 Si 2.75
Si  0.0294  0.4556  0.4339  3 B 2.05-2.06
Te  0.3329  0.1089  0.1384  1 B 2.20
B  0.3469  0.1149  0.3690  3 Si 2.05-2.06, 1 Te 2.20

Computed properties:
**Calculated total energy**: -18.402 eV/cell
**Raw formation energy**: 0.1803 eV/atom
**Calculated volume**: 94.5 Å³ per cell

---

2.
A relaxed structure of Rb2NpAgTe4. Source: Alexandria via LeMat-Bulk, functional PBE.

Cell: 7.5958 7.3300 7.3300 Å, 74.43 58.79 58.79°
Closest atoms and distances in Å follow each position.
Positions (direct):
Te  0.0844  0.3481  0.0000  1 Ag 2.85, 1 Np 2.94
Te  0.9156  0.0000  0.6519  1 Ag 2.85, 1 Np 2.94
Te  0.4325  0.6519  0.0000  1 Ag 2.85, 1 Np 2.94
Te  0.5675  0.0000  0.3481  1 Ag 2.85, 1 Np 2.94
Rb  0.5000  0.5000  0.5000  8 Te 3.75-3.82, 2 Rb 3.80
Rb  0.0000  0.5000  0.5000  8 Te 3.75-3.82, 2 Rb 3.80
Np  0.0000  0.0000  0.0000  4 Te 2.94
Ag  0.5000  0.0000  0.0000  4 Te 2.85

Computed properties:
**Calculated total energy**: -34.363 eV/cell
**Raw formation energy**: -0.5086 eV/atom
**Calculated volume**: 298.5 Å³ per cell

---

Number 1: mass density 6.60 Mg/m³. Number 2: mass density 5.71 Mg/m³.